Here is crystalline OsCI3 at its relaxed geometry from Alexandria. Energies are from PBE-GGA.

For the total energy, the calculation gives -0.215 Ry/atom. Its crystal system is cubic.

a b c (Å): 5.359 5.359 5.359
angles (deg): 90.00 90.00 90.00
Positions (direct):
Os: 0.000 0.000 0.000
C: 0.500 0.500 0.500
I: 0.000 0.000 0.500
I: 0.000 0.500 0.000
I: 0.500 0.000 0.000